DFT (GGA-PBE) results for an optimized crystal structure of ScNiMo2.

a b c (Å): 7.4321 7.4321 5.7994
angles (deg): 50.15 50.15 90.00
Atoms (fractional coordinates):
Sc (0.5000, 0.5000, 0.0000)
Sc (0.2500, 0.7500, 0.5000)
Ni (0.0000, 0.0000, 0.0000)
Ni (0.7500, 0.2500, 0.5000)
Mo (0.6693, 0.1250, 0.2500)
Mo (0.0807, 0.6250, 0.2500)
Mo (0.3750, 0.3307, 0.7500)
Mo (0.8750, 0.9193, 0.7500)

The total energy is -8.048 eV/atom. Its offset from the most stable computed form is 434 meV per atom.

DFT (GGA-PBE) results for an optimized crystal structure of ScNiMo2.

a b c (Å): 2.6962 4.5656 5.2167
angles (deg): 90.00 90.00 90.00
Atoms (fractional coordinates):
Mo (0.0000, 0.0000, 0.0017)
Mo (0.0000, 0.0000, 0.4983)
Ni (0.5000, 0.5000, 0.2500)
Sc (0.5000, 0.5000, 0.7500)

The total energy is -8.190 eV/atom. Its offset from the most stable computed form is 291 meV per atom.

Number 1: formation energy 0.40 eV per atom. Number 2: formation energy 0.25 eV per atom.